# 1
A relaxed structure of SrCa6Ac3, computed with PBE-GGA.

Calculated values
Offset from the most stable computed form in eV/atom: 0.115

Cell lengths 7.2386, 7.2386, 10.0497 Å; angles 90.00, 90.00, 120.00 degrees
Last column: nearest neighbours and their distance in Å.
Atoms (fractional coordinates):
Ca 0.5032 0.0000 0.1830  5 Ca 3.62-3.68, 2 Ac 3.81, 1 Sr 4.04
Ca 0.4968 0.4968 0.1830  5 Ca 3.62-3.68, 2 Ac 3.81, 1 Sr 4.04
Ac 0.6667 0.3333 0.5000  6 Ca 3.81, 6 Ac 4.18
Ac 0.3333 0.6667 0.5000  6 Ca 3.81, 6 Ac 4.18
Ac 0.0000 0.0000 0.5000  6 Ac 4.18
Sr 0.0000 0.0000 0.0000  12 Ca 4.04-4.08
Ca 0.0000 0.5032 0.1830  5 Ca 3.62-3.68, 2 Ac 3.81, 1 Sr 4.04
Ca 0.0000 0.4968 0.8170  5 Ca 3.62-3.68, 2 Ac 3.81, 1 Sr 4.04
Ca 0.4968 0.0000 0.8170  5 Ca 3.62-3.68, 2 Ac 3.81, 1 Sr 4.04
Ca 0.5032 0.5032 0.8170  5 Ca 3.62-3.68, 2 Ac 3.81, 1 Sr 4.04

---

# 2
A relaxed structure of Sr2Ca2Ac, computed with PBE-GGA.

Cell lengths 5.1871, 5.1871, 10.0134 Å; angles 105.01, 105.01, 90.00 degrees
Last column: nearest neighbours and their distance in Å.
Atoms (fractional coordinates):
Ca 0.4069 0.4069 0.8137  1 Ca 3.47
Ac 0.0000 0.0000 0.0000  8 Ca 4.06
Sr 0.2500 0.7500 0.5000  4 Sr 3.67, 4 Ca 3.91
Sr 0.7500 0.2500 0.5000  4 Sr 3.67, 4 Ca 3.91
Ca 0.5931 0.5931 0.1863  1 Ca 3.47

---

# 3
A relaxed structure of SrCaAc2, computed with PBE-GGA.

Calculated values
Offset from the most stable computed form in eV/atom: 0.069

Cell lengths 5.9624, 5.5381, 5.5381 Å; angles 90.00, 90.00, 90.00 degrees
Last column: nearest neighbours and their distance in Å.
Atoms (fractional coordinates):
Ac 0.0000 0.0000 0.5000  4 Ac 3.92, 4 Ca 4.07, 4 Sr 4.07
Ca 0.5000 0.0000 0.0000  4 Sr 3.92, 8 Ac 4.07
Sr 0.5000 0.5000 0.5000  4 Ca 3.92, 8 Ac 4.07
Ac 0.0000 0.5000 0.0000  4 Ac 3.92, 4 Ca 4.07, 4 Sr 4.07

---

Spin magnetization values (in Bohr magnetons per cell) by entry order: 0.00; 0.00; 0.00.
Formation energy values (in eV/atom) by entry order: 0.182; 0.329; 0.091.